## AcSm4Y10 (PBE)

Data for a relaxed AcSm4Y10 crystal.

Cell: 12.9229 12.9229 6.6561 Å, 90.00 90.00 90.00°
Closest atoms and distances in Å follow each position.
Space group I4/m (No. 87)
Unique sites:
Ac (0.0000, 0.0000, 0.0000) x2  8 Sm 4.11, 8 Y 4.48
Sm (0.0669, 0.1748, 0.5000) x8  6 Y 3.41-3.52, 2 Sm 3.42
Y (0.0000, 0.5000, 0.2500) x4  6 Y 3.15-3.33
Y (0.1302, 0.7061, 0.2506) x16  4 Y 3.15-3.34, 3 Sm 3.41-3.52

Properties
raw total energy	-5.314	eV/atom
total moment	0.00	μB/f.u.



## Ac7Sm4Y (PBE)

Data for a relaxed Ac7Sm4Y crystal.

Cell: 6.6588 7.6696 10.1909 Å, 78.31 71.05 89.63°
Closest atoms and distances in Å follow each position.
Space group P-1 (No. 2)
Unique sites:
Ac (0.0000, 0.0000, 0.0000) x1  6 Ac 3.82-3.87, 2 Y 3.83, 4 Sm 3.84-3.86
Ac (0.1641, 0.4174, 0.3369) x2  6 Sm 3.79-3.86, 5 Ac 3.79-3.90, 1 Y 3.86
Ac (0.3302, 0.8327, 0.6658) x2  6 Sm 3.80-3.87, 1 Y 3.83, 5 Ac 3.83-3.89
Ac (0.4952, 0.2511, 0.9984) x2  3 Sm 3.79-3.88, 2 Y 3.80-3.88, 7 Ac 3.82-3.90
Sm (0.1668, 0.9151, 0.3356) x2  9 Ac 3.79-3.88, 3 Sm 3.80-3.87
Sm (0.3363, 0.3334, 0.6666) x2  8 Ac 3.79-3.85, 3 Sm 3.80-3.87, 1 Y 3.87
Y (0.0000, 0.5000, 0.0000) x1  10 Ac 3.80-3.88, 2 Sm 3.87

Properties
raw total energy	-4.458	eV/atom
total moment	0.00	μB/f.u.



## Ac3Sm12Y (PBE)

Data for a relaxed Ac3Sm12Y crystal.

Cell: 5.2235 5.2235 20.8712 Å, 90.00 90.00 90.00°
Closest atoms and distances in Å follow each position.
Space group P4/mmm (No. 123)
Unique sites:
Ac (0.0000, 0.0000, 0.0000) x1  12 Sm 3.69-3.71
Ac (0.0000, 0.0000, 0.2526) x2  12 Sm 3.69-3.73
Sm (0.0000, 0.5000, 0.1264) x4  8 Sm 3.69-3.72, 4 Ac 3.71
Sm (0.0000, 0.5000, 0.3799) x4  8 Sm 3.62-3.71, 2 Y 3.62, 2 Ac 3.73
Sm (0.5000, 0.5000, 0.0000) x1  4 Ac 3.69, 8 Sm 3.71
Sm (0.5000, 0.5000, 0.2535) x2  4 Ac 3.69, 8 Sm 3.71-3.72
Sm (0.5000, 0.5000, 0.5000) x1  8 Sm 3.62, 4 Y 3.69
Y (0.0000, 0.0000, 0.5000) x1  12 Sm 3.62-3.69

Properties
raw total energy	-4.681	eV/atom
total moment	0.00	μB/f.u.



## AcSm3Y2 (PBE)

Data for a relaxed AcSm3Y2 crystal.

Cell: 9.2753 10.0774 9.1804 Å, 90.00 102.31 90.00°
Closest atoms and distances in Å follow each position.
Space group C2/c (No. 15)
Unique sites:
Ac (0.0000, 0.0698, 0.2500) x4  5 Sm 3.44-3.66, 4 Y 3.74-3.83
Sm (0.0000, 0.4112, 0.2500) x4  4 Sm 3.24-3.54, 1 Ac 3.44
Sm (0.2294, 0.4104, 0.9867) x8  3 Sm 3.24-3.54, 1 Ac 3.48, 2 Y 3.61-3.62
Y (0.1277, 0.2543, 0.6244) x8  2 Y 3.55-3.64, 8 Sm 3.61-3.92, 3 Ac 3.74-3.86

Properties
total moment	0.00	μB/f.u.
E above lowest polymorph	0	meV/atom



## AcSm12Y7 (PBE)

Data for a relaxed AcSm12Y7 crystal.

Cell: 11.5505 11.5505 11.5505 Å, 90.00 90.00 90.00°
Closest atoms and distances in Å follow each position.
Space group Im-3 (No. 204)
Unique sites:
Ac (0.0000, 0.0000, 0.0000) x2  12 Sm 4.32
Sm (0.0000, 0.2647, 0.2638) x24  2 Y 2.90
Y (0.0000, 0.0000, 0.5000) x6  12 Sm 3.85-4.10
Y (0.2500, 0.2500, 0.2500) x8  6 Sm 2.90

Properties
total moment	0.00	μB/f.u.
E above lowest polymorph	449	meV/atom



## AcSm4Y (PBE)

Data for a relaxed AcSm4Y crystal.

Cell: 9.5568 9.5568 9.5568 Å, 90.00 90.00 90.00°
Closest atoms and distances in Å follow each position.
Space group F-43m (No. 216)
Unique sites:
Ac (0.0000, 0.0000, 0.0000) x4  12 Sm 3.97, 4 Y 4.14
Sm (0.1237, 0.1237, 0.3763) x16  6 Sm 3.34-3.41
Y (0.2500, 0.2500, 0.7500) x4  12 Sm 3.96, 4 Ac 4.14

Properties
total moment	0.00	μB/f.u.
E above lowest polymorph	198	meV/atom



## Ac2Sm2Y7 (PBE)

Data for a relaxed Ac2Sm2Y7 crystal.

Cell: 8.1064 9.3716 10.2921 Å, 90.00 99.29 90.00°
Closest atoms and distances in Å follow each position.
Space group C2/m (No. 12)
Unique sites:
Ac (0.0000, 0.2088, 0.0000) x4  6 Y 3.58-3.72, 4 Sm 3.79-3.92, 1 Ac 3.91
Sm (0.2435, 0.0000, 0.7794) x4  5 Y 3.27-3.57
Y (0.0000, 0.5000, 0.5000) x2  10 Y 3.40-3.72
Y (0.1063, 0.1897, 0.3647) x8  6 Y 3.40-3.72, 2 Sm 3.47-3.57, 1 Ac 3.72
Y (0.1526, 0.5000, 0.8284) x4  1 Sm 3.27, 3 Y 3.41-3.49, 4 Ac 3.58-3.64

Properties
total moment	0.00	μB/f.u.
E above lowest polymorph	0	meV/atom



## Ac7Sm2Y (PBE)

Data for a relaxed Ac7Sm2Y crystal.

Cell: 10.1466 16.5195 6.0648 Å, 90.00 90.00 90.00°
Closest atoms and distances in Å follow each position.
Space group Cmmm (No. 65)
Unique sites:
Ac (0.0000, 0.0000, 0.0000) x2  2 Sm 3.32
Ac (0.0000, 0.2586, 0.5000) x4  2 Sm 3.18
Ac (0.1851, 0.3774, 0.0000) x8  2 Sm 3.45-3.46, 2 Ac 3.76-3.78
Sm (0.0000, 0.2012, 0.0000) x4  7 Ac 3.18-3.46
Y (0.0000, 0.5000, 0.5000) x2  10 Ac 3.99-4.10

Properties
raw total energy	-3.853	eV/atom
total moment	0.01	μB/f.u.



## Ac2Sm4Y (PBE)

Data for a relaxed Ac2Sm4Y crystal.

Cell: 3.6854 38.1125 3.6984 Å, 90.00 90.00 90.00°
Closest atoms and distances in Å follow each position.
Space group Cmmm (No. 65)
Unique sites:
Ac (0.0000, 0.2047, 0.0000) x4  6 Ac 3.69-3.91, 4 Sm 3.82
Sm (0.0000, 0.0657, 0.0000) x4  4 Y 3.62, 8 Sm 3.62-3.70
Sm (0.0000, 0.3683, 0.5000) x4  8 Sm 3.62-3.70, 4 Ac 3.82
Y (0.0000, 0.5000, 0.5000) x2  8 Sm 3.62, 4 Y 3.69-3.70

Properties
raw total energy	-4.710	eV/atom
total moment	0.00	μB/f.u.



## Ac2Sm3Y4 (PBE)

Data for a relaxed Ac2Sm3Y4 crystal.

Cell: 16.7900 6.0529 6.5357 Å, 90.00 106.19 90.00°
Closest atoms and distances in Å follow each position.
Space group C2/m (No. 12)
Unique sites:
Ac (0.1691, 0.0000, 0.3473) x4  3 Sm 3.63-3.73, 7 Y 3.66-3.78
Sm (0.0000, 0.5000, 0.0000) x2  6 Y 3.53-3.61, 4 Sm 3.56-3.75
Sm (0.1013, 0.5000, 0.5568) x4  2 Sm 3.27-3.56, 3 Y 3.41-3.51, 2 Ac 3.63
Y (0.0593, 0.0000, 0.7785) x4  4 Sm 3.51-3.61, 2 Y 3.61-3.63, 3 Ac 3.66-3.77
Y (0.2168, 0.5000, 0.0766) x4  2 Sm 3.41-3.53, 3 Y 3.47-3.61, 4 Ac 3.70-3.78

Properties
total moment	0.00	μB/f.u.
E above lowest polymorph	32	meV/atom



## AcSm14Y (PBE)

Data for a relaxed AcSm14Y crystal.

Cell: 11.7571 7.3828 12.8036 Å, 90.00 90.00 90.00°
Closest atoms and distances in Å follow each position.
Space group Amm2 (No. 38)
Unique sites:
Ac (0.0000, 0.0000, 0.0000) x2  10 Sm 3.67-3.71, 2 Y 3.69
Sm (0.0000, 0.2481, 0.7505) x4  8 Sm 3.63-3.72, 2 Y 3.68-3.71, 2 Ac 3.68-3.71
Sm (0.2491, 0.0000, 0.3337) x4  11 Sm 3.63-3.70, 1 Y 3.63
Sm (0.2529, 0.2487, 0.5845) x8  10 Sm 3.60-3.72, 1 Y 3.65, 1 Ac 3.67
Sm (0.2537, 0.0000, 0.8329) x4  11 Sm 3.59-3.72, 1 Ac 3.67
Sm (0.5000, 0.0000, 0.0006) x2  12 Sm 3.60-3.70
Sm (0.5000, 0.0000, 0.5002) x2  12 Sm 3.60-3.70
Sm (0.5000, 0.2496, 0.2504) x4  12 Sm 3.59-3.70
Y (0.0000, 0.0000, 0.5015) x2  10 Sm 3.63-3.71, 2 Ac 3.69

Properties
raw total energy	-4.755	eV/atom
total moment	0.00	μB/f.u.



## Ac8Sm2Y (PBE)

Data for a relaxed Ac8Sm2Y crystal.

Cell: 19.7071 5.5532 8.6956 Å, 90.00 105.42 90.00°
Closest atoms and distances in Å follow each position.
Space group C2/m (No. 12)
Unique sites:
Ac (0.0470, 0.0000, 0.2292) x4  1 Sm 3.84, 9 Ac 3.88-3.94, 2 Y 3.91
Ac (0.0935, 0.5000, 0.9525) x4  3 Sm 3.82-3.85, 8 Ac 3.85-3.98, 1 Y 3.88
Ac (0.1381, 0.0000, 0.6890) x4  3 Sm 3.79-3.88, 7 Ac 3.85-3.92, 2 Y 3.93
Ac (0.1816, 0.5000, 0.4146) x4  1 Y 3.84, 3 Sm 3.87-3.95, 8 Ac 3.88-3.93
Sm (0.2263, 0.0000, 0.1331) x4  10 Ac 3.79-3.95, 2 Sm 3.88
Y (0.0000, 0.5000, 0.5000) x2  12 Ac 3.84-3.93

Properties
raw total energy	-4.394	eV/atom
total moment	0.00	μB/f.u.